1.
DFT (GGA-PBEsol) results for K2LiAlP2 after structural relaxation.

a = 8.4969 Å, b = 8.4969 Å, c = 8.4969 Å
α = 137.98°, β = 60.76°, γ = 138.21°
Last column: nearest neighbours and their distance in Å.
Atoms (fractional coordinates):
K1 0.1737 0.2270 0.4007  5 P 3.26-3.47, 2 Li 3.27, 2 Al 3.40
K2 0.3263 0.7270 0.0532  5 P 3.26-3.47, 2 Li 3.27, 2 Al 3.40
K3 0.6737 0.2730 0.9468  5 P 3.26-3.47, 2 Li 3.27, 2 Al 3.40
K4 0.8263 0.7730 0.5993  5 P 3.26-3.47, 2 Li 3.27, 2 Al 3.40
Li1 0.2500 0.2500 0.0000  4 P 2.62
Li2 0.7500 0.7500 0.0000  4 P 2.62
Al1 0.2500 0.7500 0.5000  4 P 2.42
Al2 0.7500 0.2500 0.5000  4 P 2.42
P1 0.0895 0.7225 0.8120  2 Al 2.42, 2 Li 2.62
P2 0.4105 0.2225 0.6330  2 Al 2.42, 2 Li 2.62
P3 0.5895 0.7775 0.3670  2 Al 2.42, 2 Li 2.62
P4 0.9105 0.2775 0.1880  2 Al 2.42, 2 Li 2.62

## Properties
density: 2.14 g cm⁻³
crystal system: orthorhombic
energy of formation: -14.84 kcal/mol of atoms
VASP energy: -23.77 eV/f.u.
DOS(E_F): 0.000 states/eV per atom
magnetization: 0.00 μB/cell
SG: Ibam, No. 72

***

2.
DFT (GGA-PBEsol) results for K3MgAl after structural relaxation.

a = 6.5616 Å, b = 6.5616 Å, c = 6.5616 Å
α = 90.00°, β = 90.00°, γ = 90.00°
Last column: nearest neighbours and their distance in Å.
Atoms (fractional coordinates):
K1 0.0000 0.0000 0.5000  2 Al 3.28
K2 0.0000 0.5000 0.0000  2 Al 3.28
K3 0.5000 0.0000 0.0000  2 Al 3.28
Mg1 0.5000 0.5000 0.5000  12 K 4.64
Al1 0.0000 0.0000 0.0000  6 K 3.28

## Properties
density: 0.99 g cm⁻³
relative energy among the computed polymorphs: 0.0 meV/atom
crystal system: cubic
energy of formation: 12.26 kcal/mol of atoms
VASP energy: -6.55 eV/f.u.
DOS(E_F): 0.712 states/eV per atom
magnetization: 0.00 μB/cell
SG: Pm-3m, No. 221

***

3.
DFT (GGA-PBEsol) results for KMgAl2 after structural relaxation.

a = 3.1578 Å, b = 3.1578 Å, c = 31.9966 Å
α = 90.00°, β = 90.00°, γ = 120.00°
Last column: nearest neighbours and their distance in Å.
Atoms (fractional coordinates):
K1 0.0000 0.0000 0.0000  6 K 3.16, 6 Al 3.48
K2 0.3333 0.6667 0.6667  6 K 3.16, 6 Al 3.48
K3 0.6667 0.3333 0.3333  6 K 3.16, 6 Al 3.48
Mg1 0.0000 0.0000 0.5000  6 Al 2.99, 6 Mg 3.16
Mg2 0.3333 0.6667 0.1667  6 Al 2.99, 6 Mg 3.16
Mg3 0.6667 0.3333 0.8333  6 Al 2.99, 6 Mg 3.16
Al1 0.0000 0.0000 0.2409  3 Mg 2.99, 6 Al 3.16
Al2 0.0000 0.0000 0.7591  3 Mg 2.99, 6 Al 3.16
Al3 0.3333 0.6667 0.4258  3 Mg 2.99, 6 Al 3.16
Al4 0.3333 0.6667 0.9075  3 Mg 2.99, 6 Al 3.16
Al5 0.6667 0.3333 0.0925  3 Mg 2.99, 6 Al 3.16
Al6 0.6667 0.3333 0.5742  3 Mg 2.99, 6 Al 3.16

## Properties
density: 2.12 g cm⁻³
crystal system: trigonal
energy of formation: 7.25 kcal/mol of atoms
VASP energy: -9.78 eV/f.u.
DOS(E_F): 0.457 states/eV per atom
magnetization: 0.00 μB/cell
SG: R-3m, No. 166

***

4.
DFT (GGA-PBEsol) results for K2MgAl after structural relaxation.

a = 3.5691 Å, b = 3.5691 Å, c = 36.9940 Å
α = 90.00°, β = 90.00°, γ = 120.00°
Last column: nearest neighbours and their distance in Å.
Atoms (fractional coordinates):
K1 0.0000 0.0000 0.2457  6 K 3.57, 3 Al 3.58, 3 Mg 3.84
K2 0.0000 0.0000 0.7543  6 K 3.57, 3 Al 3.58, 3 Mg 3.84
K3 0.3333 0.6667 0.4210  6 K 3.57, 3 Al 3.58, 3 Mg 3.84
K4 0.3333 0.6667 0.9123  6 K 3.57, 3 Al 3.58, 3 Mg 3.84
K5 0.6667 0.3333 0.0877  6 K 3.57, 3 Al 3.58, 3 Mg 3.84
K6 0.6667 0.3333 0.5790  6 K 3.57, 3 Al 3.58, 3 Mg 3.84
Mg1 0.0000 0.0000 0.0000  6 Mg 3.57, 6 K 3.84
Mg2 0.3333 0.6667 0.6667  6 Mg 3.57, 6 K 3.84
Mg3 0.6667 0.3333 0.3333  6 Mg 3.57, 6 K 3.84
Al1 0.0000 0.0000 0.5000  6 Al 3.57, 6 K 3.58
Al2 0.3333 0.6667 0.1667  6 Al 3.57, 6 K 3.58
Al3 0.6667 0.3333 0.8333  6 Al 3.57, 6 K 3.58

## Properties
density: 1.58 g cm⁻³
crystal system: trigonal
energy of formation: 10.27 kcal/mol of atoms
VASP energy: -6.29 eV/f.u.
DOS(E_F): 0.666 states/eV per atom
magnetization: 0.00 μB/cell
SG: R-3m, No. 166

***

5.
DFT (GGA-PBEsol) results for KMg4Al9Si9O36 after structural relaxation.

a = 9.4877 Å, b = 9.7718 Å, c = 9.7994 Å
α = 60.36°, β = 89.97°, γ = 89.97°
Last column: nearest neighbours and their distance in Å.
Atoms (fractional coordinates):
K1 0.0000 0.0000 0.0000  6 O 2.71-2.96
Mg1 0.3523 0.3378 0.3136  6 O 2.00-2.24
Mg2 0.3517 0.6699 0.6586  6 O 2.07-2.13
Mg3 0.8505 0.3385 0.3133  5 O 1.99-2.17
Mg4 0.8505 0.6701 0.6589  6 O 2.07-2.14
Al1 0.1014 0.6321 0.0974  4 O 1.72-1.76
Al2 0.1016 0.1213 0.2537  4 O 1.73-1.75
Al3 0.3513 0.5061 0.4859  4 O 1.76-1.77
Al4 0.3524 0.0041 0.4883  4 O 1.72-1.78
Al5 0.3525 0.5001 0.9919  4 O 1.72-1.80
Al6 0.6010 0.2599 0.0988  4 O 1.73
Al7 0.8499 0.5000 0.9920  4 O 1.72-1.80
Al8 0.8505 0.0045 0.4864  4 O 1.72-1.79
Al9 0.8511 0.5062 0.4861  4 O 1.76-1.77
Si1 0.0999 0.7382 0.3703  4 O 1.60-1.66
Si2 0.1007 0.2761 0.6066  4 O 1.63-1.64
Si3 0.1006 0.3841 0.8749  4 O 1.61-1.65
Si4 0.1006 0.9003 0.7194  4 O 1.60-1.66
Si5 0.6013 0.1069 0.6211  4 O 1.62-1.64
Si6 0.6010 0.3785 0.7200  4 O 1.58-1.65
Si7 0.6011 0.6244 0.2575  4 O 1.62-1.64
Si8 0.6010 0.7360 0.8851  4 O 1.63-1.64
Si9 0.6014 0.8861 0.3713  4 O 1.58-1.65
O1 0.0937 0.7073 0.2244  1 Si 1.60, 1 Al 1.73
O2 0.0947 0.9244 0.3014  1 Si 1.60, 1 Al 1.74
O3 0.0962 0.7964 0.9068  1 Si 1.60, 1 Al 1.76
O4 0.0971 0.2333 0.0482  1 Si 1.61, 1 Al 1.75
O5 0.0979 0.0858 0.6805  2 Si 1.63-1.66
O6 0.0978 0.3137 0.7524  2 Si 1.64-1.65
O7 0.2425 0.6565 0.4780  1 Si 1.66, 1 Al 1.77
O8 0.2432 0.3517 0.5029  1 Si 1.63, 1 Al 1.76
O9 0.2426 0.4918 0.8462  1 Si 1.65, 1 Al 1.80
O10 0.2428 0.8679 0.6436  1 Si 1.64, 1 Al 1.78
O11 0.2510 0.1463 0.3404  2 Al 1.72-1.73
O12 0.2512 0.5207 0.1275  2 Al 1.72-1.73
O13 0.4538 0.3470 0.1283  2 Al 1.72-1.73
O14 0.4599 0.4888 0.6394  1 Si 1.65, 1 Al 1.76
O15 0.4604 0.5165 0.3352  1 Si 1.64, 1 Al 1.76
O16 0.4601 0.6591 0.8524  1 Si 1.64, 1 Al 1.80
O17 0.4607 0.1350 0.5155  1 Si 1.63, 1 Al 1.76
O18 0.4606 0.8580 0.4818  1 Si 1.65, 1 Al 1.78
O19 0.6014 0.7591 0.3088  2 Si 1.62-1.63
O20 0.6023 0.2364 0.6780  2 Si 1.62-1.63
O21 0.6017 0.6997 0.0675  2 Si 1.63-1.64
O22 0.6018 0.9268 0.7709  2 Si 1.63-1.64
O23 0.6033 0.3060 0.9039  1 Si 1.58, 1 Al 1.73
O24 0.6038 0.0591 0.2259  1 Si 1.58, 1 Al 1.73
O25 0.7411 0.4899 0.6382  1 Si 1.65, 1 Al 1.76
O26 0.7418 0.1343 0.5154  1 Si 1.63, 1 Al 1.76
O27 0.7422 0.8575 0.4817  1 Si 1.65, 1 Al 1.79
O28 0.7428 0.5180 0.3341  1 Si 1.64, 1 Al 1.77
O29 0.7425 0.6597 0.8526  1 Si 1.64, 1 Al 1.80
O30 0.7472 0.3483 0.1285  2 Al 1.72-1.73
O31 0.9520 0.1480 0.3398  2 Al 1.72-1.74
O32 0.9531 0.5182 0.1273  2 Al 1.73
O33 0.9587 0.3520 0.5018  1 Si 1.63, 1 Al 1.76
O34 0.9591 0.4930 0.8454  1 Si 1.65, 1 Al 1.80
O35 0.9600 0.8680 0.6412  1 Si 1.65, 1 Al 1.78
O36 0.9608 0.6531 0.4834  1 Si 1.66, 1 Al 1.76

## Properties
density: 2.54 g cm⁻³
formation energy (no corrections): -2.882 eV/atom
crystal system: triclinic
VASP energy: -455.58 eV/f.u.
DOS(E_F): 0.000 states/eV per atom
magnetization: 0.00 μB/cell
SG: P1, No. 1

***

6.
DFT (GGA-PBEsol) results for KMg8Al17Si19O72 after structural relaxation.

a = 9.8976 Å, b = 9.9238 Å, c = 18.7662 Å
α = 89.97°, β = 89.88°, γ = 60.21°
Last column: nearest neighbours and their distance in Å.
Atoms (fractional coordinates):
K1 0.0000 0.0000 0.0000  4 O 2.65-2.89
Mg1 0.3419 0.3070 0.0810  6 O 2.02-2.23
Mg2 0.3448 0.3027 0.5800  5 O 1.96-2.18
Mg3 0.3488 0.2995 0.3284  5 O 1.99-2.21
Mg4 0.3507 0.3000 0.8259  5 O 2.00-2.20
Mg5 0.6665 0.6400 0.5766  5 O 2.04-2.19
Mg6 0.6743 0.6437 0.3279  6 O 2.07-2.23
Mg7 0.6764 0.6427 0.8271  6 O 2.08-2.23
Mg8 0.6770 0.6374 0.0809  5 O 1.99-2.21
Al1 0.0061 0.4816 0.0809  4 O 1.74-1.80
Al2 0.1128 0.2464 0.7033  4 O 1.72-1.80
Al3 0.1159 0.2462 0.2058  4 O 1.73-1.80
Al4 0.2747 0.0752 0.4534  4 O 1.68-1.79
Al5 0.2752 0.6084 0.2027  4 O 1.71-1.78
Al6 0.2788 0.0772 0.9530  4 O 1.69-1.77
Al7 0.2819 0.6079 0.7011  4 O 1.71-1.78
Al8 0.5066 0.4667 0.0782  4 O 1.74-1.80
Al9 0.5093 0.4621 0.5746  4 O 1.75-1.82
Al10 0.5101 0.9789 0.3274  4 O 1.74-1.82
Al11 0.5147 0.9784 0.8272  4 O 1.74-1.82
Al12 0.6321 0.2408 0.9530  4 O 1.69-1.77
Al13 0.6321 0.2418 0.4532  4 O 1.70-1.78
Al14 0.6431 0.0819 0.2047  4 O 1.72-1.77
Al15 0.6451 0.0821 0.7024  4 O 1.71-1.77
Al16 0.8984 0.3530 0.4579  4 O 1.68-1.82
Al17 0.9005 0.3554 0.9557  4 O 1.70-1.83
Si1 0.0053 0.4872 0.5799  4 O 1.62-1.66
Si2 0.0060 0.4773 0.3315  4 O 1.62-1.67
Si3 0.0087 0.4784 0.8273  4 O 1.62-1.66
Si4 0.1019 0.6148 0.4551  4 O 1.61-1.65
Si5 0.1077 0.6066 0.9543  4 O 1.61-1.66
Si6 0.3772 0.7030 0.4527  4 O 1.58-1.69
Si7 0.3794 0.7020 0.9529  4 O 1.59-1.69
Si8 0.3864 0.8727 0.2040  4 O 1.59-1.71
Si9 0.3893 0.8744 0.7031  4 O 1.58-1.70
Si10 0.5050 0.4730 0.3273  4 O 1.61-1.67
Si11 0.5064 0.4730 0.8274  4 O 1.61-1.67
Si12 0.5152 0.9753 0.5781  4 O 1.61-1.68
Si13 0.5161 0.9749 0.0790  4 O 1.61-1.68
Si14 0.7370 0.8720 0.4517  4 O 1.57-1.69
Si15 0.7378 0.3566 0.7015  4 O 1.58-1.71
Si16 0.7395 0.3549 0.2026  4 O 1.59-1.71
Si17 0.7402 0.8672 0.9531  4 O 1.59-1.67
Si18 0.9049 0.7108 0.2065  4 O 1.58-1.69
Si19 0.9127 0.7126 0.7053  4 O 1.57-1.68
O1 0.0787 0.6784 0.2034  1 Si 1.59, 1 Al 1.71
O2 0.0853 0.6798 0.7062  1 Si 1.57, 1 Al 1.71
O3 0.0862 0.2031 0.9606  2 Al 1.69-1.71
O4 0.0862 0.2139 0.4589  2 Al 1.68
O5 0.1243 0.5068 0.3845  2 Si 1.65-1.67
O6 0.1253 0.5099 0.8797  2 Si 1.66
O7 0.1274 0.5130 0.5286  2 Si 1.65-1.66
O8 0.1345 0.3398 0.6259  1 Si 1.63, 1 Al 1.79
O9 0.1391 0.3360 0.2848  1 Si 1.62, 1 Al 1.80
O10 0.1422 0.3388 0.7793  1 Si 1.63, 1 Al 1.80
O11 0.1420 0.4993 0.0236  1 Si 1.61, 1 Al 1.80
O12 0.1493 0.3302 0.1309  2 Al 1.74-1.75
O13 0.2292 0.6725 0.9498  2 Si 1.63-1.65
O14 0.2327 0.6659 0.4525  2 Si 1.61-1.65
O15 0.2497 0.0496 0.2072  1 Si 1.60, 1 Al 1.73
O16 0.2552 0.0536 0.7033  1 Si 1.61, 1 Al 1.72
O17 0.3141 0.8842 0.9486  1 Si 1.59, 1 Al 1.77
O18 0.3197 0.8820 0.4468  1 Si 1.58, 1 Al 1.74
O19 0.3303 0.7486 0.1963  1 Si 1.59, 1 Al 1.73
O20 0.3325 0.7510 0.6971  1 Si 1.58, 1 Al 1.73
O21 0.3513 0.5044 0.2837  1 Si 1.62, 1 Al 1.78
O22 0.3560 0.5027 0.7818  1 Si 1.61, 1 Al 1.78
O23 0.3624 0.4760 0.1342  2 Al 1.73-1.74
O24 0.3627 0.0924 0.5338  1 Si 1.61, 1 Al 1.79
O25 0.3648 0.4737 0.6329  2 Al 1.73-1.76
O26 0.3686 0.0922 0.0318  1 Si 1.61, 1 Al 1.77
O27 0.3690 0.1136 0.3845  2 Al 1.74
O28 0.3687 0.1143 0.8821  2 Al 1.74
O29 0.4863 0.6251 0.0235  1 Si 1.63, 1 Al 1.80
O30 0.4861 0.6261 0.5235  1 Si 1.64, 1 Al 1.80
O31 0.4879 0.6148 0.3806  2 Si 1.67-1.69
O32 0.4901 0.6157 0.8803  2 Si 1.67-1.69
O33 0.4911 0.3300 0.5192  2 Al 1.74-1.75
O34 0.4992 0.8479 0.1305  2 Si 1.66-1.71
O35 0.5024 0.3278 0.0224  2 Al 1.73-1.75
O36 0.5033 0.8325 0.2736  1 Si 1.66, 1 Al 1.80
O37 0.5046 0.8347 0.7734  1 Si 1.66, 1 Al 1.79
O38 0.5048 0.8455 0.6307  2 Si 1.67-1.70
O39 0.5099 0.1208 0.2724  2 Al 1.73-1.74
O40 0.5180 0.1187 0.7727  2 Al 1.73-1.74
O41 0.5284 0.3256 0.8732  1 Si 1.62, 1 Al 1.77
O42 0.5341 0.3216 0.3716  1 Si 1.61, 1 Al 1.78
O43 0.5417 0.0988 0.6231  1 Si 1.61, 1 Al 1.77
O44 0.5463 0.0959 0.1234  1 Si 1.61, 1 Al 1.77
O45 0.6463 0.4651 0.2760  2 Si 1.67-1.71
O46 0.6474 0.4649 0.7757  2 Si 1.67-1.71
O47 0.6540 0.4688 0.6318  1 Si 1.65, 1 Al 1.82
O48 0.6558 0.4671 0.1327  1 Si 1.65, 1 Al 1.80
O49 0.6575 0.8437 0.5262  2 Si 1.68-1.69
O50 0.6587 0.8432 0.0267  2 Si 1.67-1.68
O51 0.6618 0.8307 0.3831  1 Si 1.64, 1 Al 1.82
O52 0.6655 0.8290 0.8831  1 Si 1.64, 1 Al 1.82
O53 0.7039 0.0444 0.4498  1 Si 1.57, 1 Al 1.72
O54 0.7104 0.0398 0.9509  1 Si 1.59, 1 Al 1.74
O55 0.7101 0.2114 0.2007  1 Si 1.59, 1 Al 1.72
O56 0.7105 0.2124 0.7000  1 Si 1.58, 1 Al 1.71
O57 0.7524 0.3142 0.4700  2 Al 1.69-1.70
O58 0.7790 0.2808 0.9588  2 Al 1.69-1.70
O59 0.7799 0.8892 0.2147  1 Si 1.58, 1 Al 1.72
O60 0.7814 0.8881 0.7086  1 Si 1.57, 1 Al 1.72
O61 0.8618 0.4899 0.0244  2 Al 1.75-1.76
O62 0.8671 0.6328 0.1374  1 Si 1.65, 1 Al 1.79
O63 0.8719 0.4684 0.3787  1 Si 1.63, 1 Al 1.81
O64 0.8724 0.4849 0.5303  1 Si 1.62, 1 Al 1.82
O65 0.8780 0.4640 0.8739  1 Si 1.62
O66 0.8850 0.6219 0.2795  2 Si 1.66-1.69
O67 0.8851 0.6230 0.7754  2 Si 1.66-1.68
O68 0.8850 0.6298 0.6334  2 Si 1.66-1.67
O69 0.9160 0.3117 0.7078  1 Si 1.59, 1 Al 1.72
O70 0.9179 0.3082 0.2086  1 Si 1.59, 1 Al 1.74
O71 0.9237 0.7529 0.4566  2 Si 1.61-1.63
O72 0.9295 0.7528 0.9575  2 Si 1.64

## Properties
density: 2.47 g cm⁻³
formation energy (no corrections): -2.853 eV/atom
crystal system: triclinic
VASP energy: -905.39 eV/f.u.
DOS(E_F): 0.000 states/eV per atom
magnetization: 0.19 μB/cell
SG: P1, No. 1

***

7.
DFT (GGA-PBEsol) results for KMnAl2 after structural relaxation.

a = 5.2801 Å, b = 5.2801 Å, c = 17.1095 Å
α = 90.00°, β = 90.00°, γ = 90.00°
Last column: nearest neighbours and their distance in Å.
Atoms (fractional coordinates):
K1 0.0000 0.2500 0.3750  8 Al 3.65, 4 Mn 3.73
K2 0.0000 0.7500 0.6250  8 Al 3.65, 4 Mn 3.73
K3 0.5000 0.2500 0.1250  8 Al 3.65, 4 Mn 3.73
K4 0.5000 0.7500 0.8750  8 Al 3.65, 4 Mn 3.73
Mn1 0.0000 0.2500 0.8750  4 Al 2.51
Mn2 0.0000 0.7500 0.1250  4 Al 2.51
Mn3 0.5000 0.2500 0.6250  4 Al 2.51
Mn4 0.5000 0.7500 0.3750  4 Al 2.51
Al1 0.0000 0.0000 0.0000  2 Mn 2.51, 2 Al 2.64
Al2 0.0000 0.5000 0.0000  2 Mn 2.51, 2 Al 2.64
Al3 0.2500 0.2500 0.7500  2 Mn 2.51, 2 Al 2.64
Al4 0.2500 0.7500 0.2500  2 Mn 2.51, 2 Al 2.64
Al5 0.5000 0.0000 0.5000  2 Mn 2.51, 2 Al 2.64
Al6 0.5000 0.5000 0.5000  2 Mn 2.51, 2 Al 2.64
Al7 0.7500 0.2500 0.7500  2 Mn 2.51, 2 Al 2.64
Al8 0.7500 0.7500 0.2500  2 Mn 2.51, 2 Al 2.64

## Properties
density: 2.06 g cm⁻³
relative energy among the computed polymorphs: 49.5 meV/atom
crystal system: tetragonal
energy of formation: 16.53 kcal/mol of atoms
VASP energy: -16.21 eV/f.u.
DOS(E_F): 0.935 states/eV per atom
magnetization: 13.14 μB/cell
SG: I4_1/amd, No. 141

***

8.
DFT (GGA-PBEsol) results for K4MnAl after structural relaxation.

a = 6.9735 Å, b = 6.9735 Å, c = 6.9735 Å
α = 60.00°, β = 60.00°, γ = 60.00°
Last column: nearest neighbours and their distance in Å.
Atoms (fractional coordinates):
K1 0.1245 0.1245 0.1245  6 K 3.47-3.50
K2 0.1245 0.1245 0.6264  6 K 3.47-3.50
K3 0.1245 0.6264 0.1245  6 K 3.47-3.50
K4 0.6264 0.1245 0.1245  6 K 3.47-3.50
Mn1 0.5000 0.5000 0.5000  12 K 4.09, 4 Al 4.27
Al1 0.7500 0.7500 0.7500  12 K 4.09, 4 Mn 4.27

## Properties
density: 1.65 g cm⁻³
crystal system: cubic
energy of formation: 21.56 kcal/mol of atoms
VASP energy: -12.78 eV/f.u.
DOS(E_F): 0.906 states/eV per atom
magnetization: 4.31 μB/cell
SG: F-43m, No. 216